[1]
Here is MnSbMo4 after structural relaxation from Alexandria via LeMat-Bulk. Energies are from GGA-PBE.

Summary:
ΔE_f (raw) = 0.47 eV/atom
ρ = 8.93 Mg/m³
SG = No. 216

abc: 5.282 5.282 5.282
angles: 60.00 60.00 60.00
Site moments in Bohr magnetons follow the coordinates.
Element x y z (fractional)
1 Mo 0.626 0.123 0.626  -0.10
2 Sb 0.250 0.250 0.250  0.01
3 Mn 0.000 0.000 0.000  3.42
4 Mo 0.626 0.626 0.626  -0.10
5 Mo 0.123 0.626 0.626  -0.10
6 Mo 0.626 0.626 0.123  -0.10

[2]
Here is Mn2SbMo after structural relaxation from Alexandria via LeMat-Bulk. Energies are from GGA-PBE.

Summary:
ΔE_f (raw) = 0.45 eV/atom
ρ = 8.10 Mg/m³
SG = No. 166

abc: 8.523 8.523 8.523
angles: 20.60 20.60 20.60
Site moments in Bohr magnetons follow the coordinates.
Element x y z (fractional)
1 Mn 0.506 0.506 0.506  2.91
2 Sb 0.750 0.750 0.750  -0.07
3 Mo 0.250 0.250 0.250  -0.63
4 Mn 0.994 0.994 0.994  2.91

[3]
Here is MnSbMo2 after structural relaxation from Alexandria via LeMat-Bulk. Energies are from GGA-PBE.

Summary:
ΔE_f (raw) = 0.30 eV/atom
ρ = 9.81 Mg/m³
SG = No. 216

abc: 4.451 4.451 4.451
angles: 60.00 60.00 60.00
Site moments in Bohr magnetons follow the coordinates.
Element x y z (fractional)
1 Sb 0.750 0.750 0.750  -0.01
2 Mo 0.250 0.250 0.250  -0.07
3 Mo 0.000 0.000 0.000  0.07
4 Mn 0.500 0.500 0.500  0.47